(1)
An optimized crystal structure of Ho2TmBi. Source: the Alexandria database, functional PBE.

Lattice parameters (Å, degrees): 4.177 4.177 6.707 90.00 90.00 90.00
Space group P4/mmm (No. 123)
One atom of each set of equivalent atoms:
Ho (0.000, 0.000, 0.243)
Tm (0.500, 0.500, 0.500)
Bi (0.500, 0.500, 0.000)

**ΔE to the lowest computed polymorph**: 0.15 eV/f.u.
**D(E_F)**: 3.766 states/eV/cell
**VASP energy**: -18.89 eV per cell
**E_form**: -0.345 eV/atom
**Total magnetization**: 0.00 μB per formula unit

=====

(2)
An optimized crystal structure of CeDyZr2. Source: the Alexandria database, functional PBE.

Lattice parameters (Å, degrees): 3.2746 3.2746 34.6118 90.00 90.00 120.00
Space group R-3m (No. 166, hexagonal axes)
One atom of each set of equivalent atoms:
Ce (0.0000, 0.0000, 0.0000)
Dy (0.0000, 0.0000, 0.5000)
Zr (0.0000, 0.0000, 0.4099)

**ΔE to the lowest computed polymorph**: 0.74 eV/f.u.
**D(E_F)**: 24.656 states/eV/cell
**VASP energy**: -79.28 eV per cell
**E_form**: 0.302 eV/atom
**Total magnetization**: 0.00 μB per formula unit

=====

(3)
An optimized crystal structure of MgTc2Ni. Source: the Alexandria database, functional PBE.

Lattice parameters (Å, degrees): 5.101 8.748 2.610 90.00 102.48 90.00
Space group C2/m (No. 12)
One atom of each set of equivalent atoms:
Mg (0.000, 0.000, 0.000)
Tc (0.250, 0.250, 0.500)
Ni (0.000, 0.500, 0.000)

**D(E_F)**: 6.287 states/eV/cell
**VASP energy**: -54.75 eV per cell
**E_form**: 0.184 eV/atom
**Total magnetization**: 0.00 μB per formula unit

=====

(4)
An optimized crystal structure of RbBF2. Source: the Alexandria database, functional PBE.

Lattice parameters (Å, degrees): 3.7366 3.7366 21.2530 90.00 90.00 120.00
Space group R-3m (No. 166, hexagonal axes)
One atom of each set of equivalent atoms:
Rb (0.0000, 0.0000, 0.0000)
B (0.0000, 0.0000, 0.5000)
F (0.0000, 0.0000, 0.1153)

**ΔE_f (raw)**: -0.443 eV/atom
**ΔE to the lowest computed polymorph**: 2.20 eV/f.u.
**D(E_F)**: 0.000 states/eV/cell
**VASP energy**: -39.48 eV per cell
**Total magnetization**: 0.00 μB per formula unit

=====

(5)
An optimized crystal structure of BaTl2Cd. Source: the Alexandria database, functional PBE.

Lattice parameters (Å, degrees): 8.888 5.130 6.787 90.00 115.87 90.00
Space group Cm (No. 8)
One atom of each set of equivalent atoms:
Ba (0.000, 0.000, 0.000)
Tl (0.220, 0.000, 0.661)
Tl (0.453, 0.000, 0.361)
Cd (0.301, 0.500, 0.406)

**D(E_F)**: 3.887 states/eV/cell
**VASP energy**: -17.07 eV per cell
**E_form**: -0.241 eV/atom
**Total magnetization**: 0.00 μB per formula unit

=====

(6)
An optimized crystal structure of LaSmInSn. Source: the Alexandria database, functional PBE.

Lattice parameters (Å, degrees): 4.441 4.725 11.892 90.00 90.00 90.00
Space group Amm2 (No. 38)
One atom of each set of equivalent atoms:
La (0.000, 0.000, 0.000)
Sm (0.500, 0.000, 0.724)
In (0.500, 0.000, 0.443)
Sn (0.000, 0.000, 0.277)

**ΔE to the lowest computed polymorph**: 0.00 eV/f.u.
**D(E_F)**: 8.185 states/eV/cell
**VASP energy**: -37.90 eV per cell
**E_form**: -0.641 eV/atom
**Total magnetization**: 0.02 μB per formula unit

=====

(7)
An optimized crystal structure of KAuI3. Source: the Alexandria database, functional PBE.

Lattice parameters (Å, degrees): 7.8403 7.8403 23.4332 90.00 90.00 120.00
Space group R-3 (No. 148, hexagonal axes)
One atom of each set of equivalent atoms:
K (0.0000, 0.0000, 0.1355)
Au (0.0000, 0.0000, 0.3354)
I (0.0053, 0.4098, 0.9250)

**ΔE_f (raw)**: -0.475 eV/atom
**D(E_F)**: 3.193 states/eV/cell
**VASP energy**: -68.41 eV per cell
**Total magnetization**: 0.00 μB per formula unit

=====

(8)
An optimized crystal structure of Er5Sn2Pd12. Source: the Alexandria database, functional PBE.

Lattice parameters (Å, degrees): 14.759 7.271 6.792 90.00 92.67 90.00
Space group C2/m (No. 12)
One atom of each set of equivalent atoms:
Er (0.000, 0.000, 0.000)
Er (0.190, 0.500, 0.547)
Er (0.245, 0.000, 0.934)
Sn (0.000, 0.260, 0.500)
Pd (0.056, 0.500, 0.197)
Pd (0.108, 0.300, 0.857)
Pd (0.127, 0.000, 0.598)
Pd (0.158, 0.189, 0.248)

**D(E_F)**: 14.316 states/eV/cell
**VASP energy**: -216.55 eV per cell
**E_form**: -0.797 eV/atom
**Total magnetization**: 0.00 μB per formula unit

=====

(9)
An optimized crystal structure of CeTiBe2. Source: the Alexandria database, functional PBE.

Lattice parameters (Å, degrees): 3.097 3.097 6.553 90.00 90.00 90.00
Space group P4/mmm (No. 123)
One atom of each set of equivalent atoms:
Ce (0.000, 0.000, 0.000)
Ti (0.000, 0.000, 0.500)
Be (0.500, 0.500, 0.311)

**D(E_F)**: 4.649 states/eV/cell
**VASP energy**: -21.06 eV per cell
**E_form**: 0.055 eV/atom
**Total magnetization**: 0.00 μB per formula unit

=====

(10)
An optimized crystal structure of NaAlW3. Source: the Alexandria database, functional PBE.

Lattice parameters (Å, degrees): 4.515 4.515 4.515 90.00 90.00 90.00
Space group Pm-3m (No. 221)
One atom of each set of equivalent atoms:
Na (0.000, 0.000, 0.000)
Al (0.500, 0.500, 0.500)
W (0.000, 0.000, 0.500)

**ΔE to the lowest computed polymorph**: 3.89 eV/f.u.
**D(E_F)**: 5.972 states/eV/cell
**VASP energy**: -29.61 eV per cell
**E_form**: 2.863 eV/atom
**Total magnetization**: 0.00 μB per formula unit

=====

(11)
An optimized crystal structure of BaPIO2. Source: the Alexandria database, functional PBE.

Lattice parameters (Å, degrees): 4.464 4.464 5.077 90.00 90.00 90.00
Space group P4/mmm (No. 123)
One atom of each set of equivalent atoms:
Ba (0.000, 0.000, 0.000)
P (0.500, 0.500, 0.000)
I (0.500, 0.500, 0.500)
O (0.000, 0.500, 0.500)

**ΔE_f (raw)**: -0.497 eV/atom
**ΔE to the lowest computed polymorph**: 0.88 eV/f.u.
**D(E_F)**: 1.684 states/eV/cell
**VASP energy**: -21.29 eV per cell
**Total magnetization**: 0.00 μB per formula unit

=====

(12)
An optimized crystal structure of AcPaBiSe. Source: the Alexandria database, functional PBE.

Lattice parameters (Å, degrees): 7.751 7.751 7.751 90.00 90.00 90.00
Space group F-43m (No. 216)
One atom of each set of equivalent atoms:
Ac (0.000, 0.000, 0.000)
Pa (0.000, 0.000, 0.500)
Bi (0.250, 0.250, 0.250)
Se (0.250, 0.250, 0.750)

**ΔE_f (raw)**: -0.703 eV/atom
**D(E_F)**: 21.931 states/eV/cell
**VASP energy**: -95.12 eV per cell
**Total magnetization**: 2.10 μB per formula unit